# 1
# PBE-GGA KU2I8, optimized geometry
# ΔE to the lowest computed polymorph, meV/atom: 28
data_KU2I8
_symmetry_space_group_name_H-M 'C 1 2/m 1'
_symmetry_Int_Tables_number 12
_cell_length_a 17.022
_cell_length_b 9.544
_cell_length_c 8.573
_cell_angle_alpha 90.00
_cell_angle_beta 100.26
_cell_angle_gamma 90.00
loop_
_symmetry_equiv_pos_as_xyz
'x,y,z'
'-x,-y,-z'
'-x,y,-z'
'x,-y,z'
'x+1/2,y+1/2,z'
'-x+1/2,-y+1/2,-z'
'-x+1/2,y+1/2,-z'
'x+1/2,-y+1/2,z'
loop_
_atom_site_label
_atom_site_fract_x
_atom_site_fract_y
_atom_site_fract_z
K1 0.000 0.000 0.000
U1 0.182 0.000 0.648
I1 0.096 0.236 0.756
I2 0.151 0.500 0.205
I3 0.178 0.000 0.303

# 2
## K2UI4 (PBE-GGA)

Data for a relaxed structure of K2UI4.

Cell and atoms, written as CIF:
```
data_K2UI4
_symmetry_space_group_name_H-M 'I 4/m m m'
_symmetry_Int_Tables_number 139
_symmetry_space_group_name_Hall '-I 4 2'
_cell_length_a 6.142
_cell_length_b 6.142
_cell_length_c 17.980
_cell_angle_alpha 90.00
_cell_angle_beta 90.00
_cell_angle_gamma 90.00
loop_
_atom_site_label
_atom_site_fract_x
_atom_site_fract_y
_atom_site_fract_z
K1 0.000 0.000 0.132
U1 0.000 0.000 0.500
I1 0.000 0.000 0.324
I2 0.000 0.500 0.000
```

# 3
## K2UI8 (PBE-GGA)

Data for a relaxed structure of K2UI8.

Cell and atoms, written as CIF:
```
data_K2UI8
_symmetry_space_group_name_H-M 'C 1 2/m 1'
_symmetry_Int_Tables_number 12
_cell_length_a 14.326
_cell_length_b 10.881
_cell_length_c 8.563
_cell_angle_alpha 90.00
_cell_angle_beta 116.86
_cell_angle_gamma 90.00
loop_
_symmetry_equiv_pos_as_xyz
'x,y,z'
'-x,-y,-z'
'-x,y,-z'
'x,-y,z'
'x+1/2,y+1/2,z'
'-x+1/2,-y+1/2,-z'
'-x+1/2,y+1/2,-z'
'x+1/2,-y+1/2,z'
loop_
_atom_site_label
_atom_site_fract_x
_atom_site_fract_y
_atom_site_fract_z
K1 0.217 0.000 0.386
U1 0.000 0.500 0.000
I1 0.091 0.000 0.665
I2 0.094 0.306 0.278
I3 0.197 0.500 0.949
```

# 4
## K6UI12 (PBE-GGA)

Data for a relaxed structure of K6UI12.

Cell and atoms, written as CIF:
```
data_K6UI12
_symmetry_space_group_name_H-M 'R -3'
_symmetry_Int_Tables_number 148
_symmetry_space_group_name_Hall '-R 3'
_cell_length_a 15.6916
_cell_length_b 15.6916
_cell_length_c 14.7575
_cell_angle_alpha 90.00
_cell_angle_beta 90.00
_cell_angle_gamma 120.00
loop_
_atom_site_label
_atom_site_fract_x
_atom_site_fract_y
_atom_site_fract_z
K1 0.0020 0.7827 0.3844
U1 0.0000 0.0000 0.0000
I1 0.0047 0.7809 0.6203
I2 0.0735 0.9004 0.8882
```

# 5
## KUI6 (PBE-GGA)

Data for a relaxed structure of KUI6.

Cell and atoms, written as CIF:
```
data_KUI6
_symmetry_space_group_name_H-M 'C 1 2/m 1'
_symmetry_Int_Tables_number 12
_cell_length_a 8.551
_cell_length_b 13.241
_cell_length_c 7.793
_cell_angle_alpha 90.00
_cell_angle_beta 106.63
_cell_angle_gamma 90.00
loop_
_symmetry_equiv_pos_as_xyz
'x,y,z'
'-x,-y,-z'
'-x,y,-z'
'x,-y,z'
'x+1/2,y+1/2,z'
'-x+1/2,-y+1/2,-z'
'-x+1/2,y+1/2,-z'
'x+1/2,-y+1/2,z'
loop_
_atom_site_label
_atom_site_fract_x
_atom_site_fract_y
_atom_site_fract_z
K1 0.000 0.000 0.000
U1 0.000 0.500 0.500
I1 0.175 0.341 0.744
I2 0.244 0.000 0.680
```

# 6
## K3UI6 (PBE-GGA)

Data for a relaxed structure of K3UI6.

Cell and atoms, written as CIF:
```
data_K3UI6
_symmetry_space_group_name_H-M 'P 1 21/c 1'
_symmetry_Int_Tables_number 14
_cell_length_a 8.431
_cell_length_b 9.136
_cell_length_c 14.896
_cell_angle_alpha 90.00
_cell_angle_beta 123.80
_cell_angle_gamma 90.00
loop_
_symmetry_equiv_pos_as_xyz
'x,y,z'
'-x,-y,-z'
'-x,y+1/2,-z+1/2'
'x,-y+1/2,z+1/2'
loop_
_atom_site_label
_atom_site_fract_x
_atom_site_fract_y
_atom_site_fract_z
K1 0.000 0.000 0.000
K2 0.208 0.092 0.746
U1 0.500 0.000 0.500
I1 0.133 0.177 0.435
I2 0.260 0.708 0.424
I3 0.408 0.053 0.267
```

# 7
## KUI6 (PBE-GGA)

Data for a relaxed structure of KUI6.

Cell and atoms, written as CIF:
```
data_KUI6
_symmetry_space_group_name_H-M 'P -1'
_symmetry_Int_Tables_number 2
_cell_length_a 8.032
_cell_length_b 8.032
_cell_length_c 8.643
_cell_angle_alpha 62.49
_cell_angle_beta 62.36
_cell_angle_gamma 60.09
loop_
_symmetry_equiv_pos_as_xyz
'x,y,z'
'-x,-y,-z'
loop_
_atom_site_label
_atom_site_fract_x
_atom_site_fract_y
_atom_site_fract_z
K1 0.000 0.000 0.000
U1 0.500 0.500 0.500
I1 0.105 0.465 0.731
I2 0.301 0.894 0.270
I3 0.465 0.700 0.730
```

# 8
## K2UI7 (PBE-GGA)

Data for a relaxed structure of K2UI7.

Cell and atoms, written as CIF:
```
data_K2UI7
_symmetry_space_group_name_H-M 'C 1 2/c 1'
_symmetry_Int_Tables_number 15
_cell_length_a 19.382
_cell_length_b 9.587
_cell_length_c 13.308
_cell_angle_alpha 90.00
_cell_angle_beta 128.41
_cell_angle_gamma 90.00
loop_
_symmetry_equiv_pos_as_xyz
'x,y,z'
'-x,-y,-z'
'-x,y,-z+1/2'
'x,-y,z+1/2'
'x+1/2,y+1/2,z'
'-x+1/2,-y+1/2,-z'
'-x+1/2,y+1/2,-z+1/2'
'x+1/2,-y+1/2,z+1/2'
loop_
_atom_site_label
_atom_site_fract_x
_atom_site_fract_y
_atom_site_fract_z
K1 0.198 0.056 0.307
U1 0.000 0.378 0.750
I1 0.000 0.058 0.750
I2 0.082 0.333 0.023
I3 0.119 0.351 0.382
I4 0.168 0.315 0.786
```

# 9
## KU2I11 (PBE-GGA)

Data for a relaxed structure of KU2I11.

Cell and atoms, written as CIF:
```
data_KU2I11
_symmetry_space_group_name_H-M 'I b a m'
_symmetry_Int_Tables_number 72
_symmetry_space_group_name_Hall '-I 2 2c'
_cell_length_a 14.077
_cell_length_b 14.192
_cell_length_c 15.963
_cell_angle_alpha 90.00
_cell_angle_beta 90.00
_cell_angle_gamma 90.00
loop_
_atom_site_label
_atom_site_fract_x
_atom_site_fract_y
_atom_site_fract_z
K1 0.000 0.000 0.250
U1 0.159 0.348 0.000
I1 0.000 0.500 0.000
I2 0.057 0.245 0.130
I3 0.196 0.292 0.500
I4 0.239 0.045 0.371
```

# 10
# PBE-GGA KVI2, optimized geometry
# ΔE to the lowest computed polymorph, meV/atom: 0
data_KVI2
_symmetry_space_group_name_H-M 'I -4 2 d'
_symmetry_Int_Tables_number 122
_symmetry_space_group_name_Hall 'I -4 2bw'
_cell_length_a 8.526
_cell_length_b 8.526
_cell_length_c 8.127
_cell_angle_alpha 90.00
_cell_angle_beta 90.00
_cell_angle_gamma 90.00
loop_
_atom_site_label
_atom_site_fract_x
_atom_site_fract_y
_atom_site_fract_z
K1 0.000 0.000 0.000
V1 0.000 0.000 0.500
I1 0.174 0.750 0.625

# 11
# PBE-GGA KVI2, optimized geometry
# ΔE to the lowest computed polymorph, meV/atom: 105
data_KVI2
_symmetry_space_group_name_H-M 'R -3 m'
_symmetry_Int_Tables_number 166
_symmetry_space_group_name_Hall '-R 3 2"'
_cell_length_a 4.2537
_cell_length_b 4.2537
_cell_length_c 31.4599
_cell_angle_alpha 90.00
_cell_angle_beta 90.00
_cell_angle_gamma 120.00
loop_
_atom_site_label
_atom_site_fract_x
_atom_site_fract_y
_atom_site_fract_z
K1 0.0000 0.0000 0.0000
V1 0.0000 0.0000 0.5000
I1 0.0000 0.0000 0.1178

# 12
## KVI3 (PBE-GGA)

Data for a relaxed structure of KVI3.

Cell and atoms, written as CIF:
```
data_KVI3
_symmetry_space_group_name_H-M 'C 1 2/m 1'
_symmetry_Int_Tables_number 12
_cell_length_a 13.757
_cell_length_b 8.056
_cell_length_c 7.095
_cell_angle_alpha 90.00
_cell_angle_beta 102.12
_cell_angle_gamma 90.00
loop_
_symmetry_equiv_pos_as_xyz
'x,y,z'
'-x,-y,-z'
'-x,y,-z'
'x,-y,z'
'x+1/2,y+1/2,z'
'-x+1/2,-y+1/2,-z'
'-x+1/2,y+1/2,-z'
'x+1/2,-y+1/2,z'
loop_
_atom_site_label
_atom_site_fract_x
_atom_site_fract_y
_atom_site_fract_z
K1 0.167 0.000 0.222
V1 0.000 0.500 0.000
V2 0.000 0.500 0.500
I1 0.083 0.260 0.786
I2 0.166 0.500 0.320
```

Taking the records one at a time from the top gives ΔE_f (raw) values of -0.79 -0.90 -0.91 -1.11 -0.94 -1.22 -0.94 -0.95 -0.81 -0.43 -0.32 -0.82 eV per atom.
Taking the records one at a time from the top gives size of the total moment values of 5.000 3.995 2.000 0.001 1.000 3.000 1.000 0.966 2.000 4.000 3.231 3.000 μB per formula unit.